[1]
A PBEsol-optimized structure of ReWS2. Source: Alexandria via LeMat-Bulk, functional meta-GGA SCAN.

SG ... Fm-3m
Magnetic moment ... 0.0 μB/f.u.
Mass density ... 13.85 Mg/m³
VASP energy ... -158.2 eV/cell

a b c (Å): 4.191 4.191 4.191
angles (deg): 60.00 60.00 60.00
Atoms (fractional coordinates):
S 0.750 0.750 0.750
W 0.000 0.000 0.000
S 0.250 0.250 0.250
Re 0.500 0.500 0.500



[2]
A PBEsol-optimized structure of BaNb2CuRu. Source: Alexandria via LeMat-Bulk, functional meta-GGA SCAN.

SG ... P4/mmm
Magnetic moment ... 0.6 μB/f.u.
DFT formation energy ... 67.002 kcal/mol of atoms
Mass density ... 6.76 Mg/m³
VASP energy ... -141.3 eV/cell

a b c (Å): 4.800 4.995 4.995
angles (deg): 90.00 90.00 90.00
Atoms (fractional coordinates):
Cu 0.500 0.500 0.500
Nb 0.000 0.500 0.000
Nb 0.000 0.000 0.500
Ru 0.500 0.000 0.000
Ba 0.000 0.000 0.000



[3]
A PBEsol-optimized structure of Ba3Y2B6O15. Source: Alexandria via LeMat-Bulk, functional meta-GGA SCAN.

SG ... Ia-3
Magnetic moment ... 0.0 μB/f.u.
Mass density ... 4.10 Mg/m³
VASP energy ... -1576.9 eV/cell

a b c (Å): 12.347 12.347 12.347
angles (deg): 109.47 109.47 109.47
Atoms (fractional coordinates):
B 0.920 0.244 0.048
O 0.069 0.378 0.891
O 0.692 0.513 0.622
O 0.091 0.750 0.841
O 0.528 0.697 0.021
Y 0.000 0.500 0.500
O 0.931 0.622 0.109
Ba 0.370 0.620 0.750
O 0.391 0.069 0.878
O 0.472 0.303 0.979
B 0.196 0.744 0.824
O 0.987 0.179 0.609
O 0.197 0.168 0.176
Ba 0.750 0.130 0.380
O 0.176 0.507 0.479
O 0.808 0.431 0.821
O 0.308 0.487 0.378
B 0.756 0.452 0.580
Ba 0.380 0.750 0.130
B 0.744 0.324 0.696
O 0.659 0.909 0.750
Ba 0.870 0.120 0.750
O 0.324 0.803 0.332
B 0.952 0.696 0.372
O 0.507 0.979 0.676
B 0.372 0.176 0.920
O 0.891 0.013 0.321
Ba 0.630 0.380 0.250
O 0.409 0.250 0.659
Y 0.000 0.000 0.500
O 0.250 0.659 0.409
O 0.332 0.028 0.507
O 0.431 0.321 0.308
O 0.676 0.197 0.668
O 0.321 0.808 0.931
Y 0.500 0.500 0.000
O 0.993 0.668 0.472
B 0.872 0.952 0.196
O 0.013 0.821 0.391
B 0.420 0.372 0.676
O 0.168 0.676 0.697
O 0.591 0.750 0.341
B 0.580 0.628 0.324
Y 0.000 0.500 0.000
Ba 0.120 0.250 0.370
Y 0.500 0.500 0.500
Ba 0.750 0.630 0.880
O 0.159 0.409 0.750
O 0.521 0.528 0.197
Ba 0.130 0.880 0.250
Ba 0.880 0.750 0.630
O 0.007 0.332 0.528
B 0.048 0.304 0.628
B 0.176 0.420 0.872
O 0.909 0.250 0.159
B 0.324 0.196 0.244
O 0.122 0.692 0.013
O 0.479 0.472 0.803
O 0.803 0.832 0.824
O 0.609 0.931 0.122
B 0.256 0.676 0.304
B 0.676 0.804 0.756
B 0.452 0.080 0.256
O 0.513 0.122 0.192
O 0.250 0.159 0.909
Y 0.500 0.000 0.500
O 0.109 0.987 0.679
O 0.341 0.091 0.250
O 0.179 0.109 0.487
B 0.824 0.580 0.128
O 0.821 0.891 0.513
B 0.080 0.756 0.952
O 0.487 0.878 0.808
O 0.378 0.391 0.569
Ba 0.620 0.250 0.870
O 0.750 0.341 0.591
O 0.750 0.841 0.091
B 0.304 0.128 0.548
O 0.622 0.609 0.431
O 0.972 0.993 0.168
Ba 0.250 0.870 0.620
O 0.028 0.007 0.832
O 0.569 0.679 0.692
O 0.878 0.308 0.987
O 0.979 0.176 0.007
O 0.303 0.479 0.972
Y 0.000 0.000 0.000
O 0.021 0.824 0.993
B 0.628 0.824 0.080
Ba 0.250 0.370 0.120
O 0.697 0.521 0.028
O 0.679 0.192 0.069
B 0.128 0.048 0.804
O 0.824 0.493 0.521
O 0.493 0.021 0.324
B 0.696 0.872 0.452
Y 0.500 0.000 0.000
B 0.244 0.548 0.420
O 0.841 0.591 0.250
O 0.832 0.324 0.303
B 0.804 0.256 0.176
O 0.192 0.569 0.179
B 0.548 0.920 0.744
O 0.668 0.972 0.493



[4]
A PBEsol-optimized structure of KPbN2F. Source: Alexandria via LeMat-Bulk, functional meta-GGA SCAN.

SG ... P4/mmm
Magnetic moment ... 4.0 μB/f.u.
Mass density ... 4.75 Mg/m³
VASP energy ... -101.5 eV/cell

a b c (Å): 4.501 4.775 4.775
angles (deg): 90.00 90.00 90.00
Atoms (fractional coordinates):
N 0.000 0.500 0.000
K 0.000 0.000 0.000
Pb 0.500 0.500 0.500
F 0.500 0.000 0.000
N 0.000 0.000 0.500



[5]
A PBEsol-optimized structure of BaSr2As. Source: Alexandria via LeMat-Bulk, functional meta-GGA SCAN.

SG ... R-3m
Magnetic moment ... 0.9 μB/f.u.
DFT formation energy ... -16.729 kcal/mol of atoms
Mass density ... 3.37 Mg/m³
VASP energy ... -107.2 eV/cell

a b c (Å): 4.487 4.487 11.257
angles (deg): 78.50 78.50 60.00
Atoms (fractional coordinates):
Ba 0.000 0.000 0.000
Sr 0.785 0.785 0.646
Sr 0.215 0.215 0.354
As 0.500 0.500 0.500



[6]
A PBEsol-optimized structure of HgClO2. Source: Alexandria via LeMat-Bulk, functional meta-GGA SCAN.

SG ... R-3m
Magnetic moment ... 0.0 μB/f.u.
Mass density ... 6.76 Mg/m³
VASP energy ... -85.8 eV/cell

a b c (Å): 4.277 4.277 4.837
angles (deg): 63.76 63.76 60.00
Atoms (fractional coordinates):
Hg 0.000 0.000 0.000
O 0.841 0.841 0.478
O 0.159 0.159 0.522
Cl 0.500 0.500 0.500



[7]
A PBEsol-optimized structure of Sc2WNCl. Source: Alexandria via LeMat-Bulk, functional meta-GGA SCAN.

SG ... P4/mmm
Magnetic moment ... 0.5 μB/f.u.
Mass density ... 4.83 Mg/m³
VASP energy ... -109.2 eV/cell

a b c (Å): 4.311 5.078 5.078
angles (deg): 90.00 90.00 90.00
Atoms (fractional coordinates):
Sc 0.000 0.500 0.000
W 0.000 0.000 0.000
N 0.500 0.500 0.500
Cl 0.500 0.000 0.000
Sc 0.000 0.000 0.500



[8]
A PBEsol-optimized structure of BaSiPt2. Source: Alexandria via LeMat-Bulk, functional meta-GGA SCAN.

SG ... I4_1/amd
Magnetic moment ... 0.0 μB/f.u.
Mass density ... 8.73 Mg/m³
VASP energy ... -387.2 eV/cell

a b c (Å): 5.235 5.235 8.555
angles (deg): 107.82 107.82 90.00
Atoms (fractional coordinates):
Pt 0.625 0.375 0.750
Pt 0.125 0.375 0.750
Pt 0.625 0.875 0.250
Si 0.500 0.500 0.000
Ba 0.000 0.000 0.000
Ba 0.250 0.750 0.500
Pt 0.625 0.375 0.250
Si 0.750 0.250 0.500



[9]
A PBEsol-optimized structure of Mn2InCo. Source: Alexandria via LeMat-Bulk, functional meta-GGA SCAN.

SG ... P4mm
Magnetic moment ... 1.5 μB/f.u.
DFT formation energy ... -1.681 kcal/mol of atoms
Mass density ... 9.05 Mg/m³
VASP energy ... -87.5 eV/cell

a b c (Å): 2.927 2.927 6.078
angles (deg): 90.00 90.00 90.00
Atoms (fractional coordinates):
Co 0.000 0.000 0.467
In 0.500 0.500 0.742
Mn 0.500 0.500 0.247
Mn 0.000 0.000 0.044



[10]
A PBEsol-optimized structure of BaMn3O6. Source: Alexandria via LeMat-Bulk, functional meta-GGA SCAN.

SG ... C2/m
Magnetic moment ... 3.3 μB/f.u.
Mass density ... 6.09 Mg/m³
VASP energy ... -309.9 eV/cell

a b c (Å): 3.841 5.575 10.414
angles (deg): 97.65 100.63 90.00
Atoms (fractional coordinates):
O 0.500 0.000 0.000
O 0.645 0.068 0.289
O 0.775 0.136 0.551
Mn 0.293 0.651 0.587
O 0.355 0.932 0.711
Ba 0.930 0.715 0.860
Mn 0.292 0.147 0.584
Mn 0.708 0.853 0.416
Ba 0.070 0.285 0.140
O 0.067 0.783 0.135
Mn 0.435 0.217 0.870
O 0.225 0.864 0.449
O 0.777 0.635 0.554
O 0.223 0.365 0.446
O 0.500 0.500 0.000
O 0.933 0.217 0.865
O 0.354 0.422 0.707
Mn 0.707 0.349 0.413
Mn 0.565 0.783 0.130
O 0.646 0.578 0.293



[11]
A PBEsol-optimized structure of Sr3Li. Source: Alexandria via LeMat-Bulk, functional meta-GGA SCAN.

Polymorph energy (0 for the lowest one) ... 52 meV per atom
SG ... Pm-3m
Magnetic moment ... 0.4 μB/f.u.
DFT formation energy ... 1.868 kcal/mol of atoms
Mass density ... 2.48 Mg/m³
VASP energy ... -68.9 eV/cell

a b c (Å): 5.650 5.650 5.650
angles (deg): 90.00 90.00 90.00
Atoms (fractional coordinates):
Sr 0.500 0.500 0.000
Sr 0.500 0.000 0.500
Sr 0.000 0.500 0.500
Li 0.000 0.000 0.000



[12]
A PBEsol-optimized structure of ZnP2Rh. Source: Alexandria via LeMat-Bulk, functional meta-GGA SCAN.

SG ... C2/m
Magnetic moment ... 0.0 μB/f.u.
DFT formation energy ... 2.242 kcal/mol of atoms
Mass density ... 7.01 Mg/m³
VASP energy ... -67.7 eV/cell

a b c (Å): 3.084 4.304 4.304
angles (deg): 107.35 90.54 90.54
Atoms (fractional coordinates):
Rh 0.500 0.500 0.500
Zn 0.500 0.000 0.000
P 0.000 0.500 0.000
P 0.000 0.000 0.500